Material: PrHoS2O8
Method: DFT, PBE-GGA
State: optimized geometry

The value obtained for the uncorrected formation energy is -1846 meV/atom. The size of the total moment comes out at 0.00 μB per formula unit. The calculation puts the total energy at -6.620 eV per atom.

It has space group P-3m1 (No. 164), with a = 5.7189 Å, b = 5.7189 Å, c = 6.4287 Å, α = 90.00°, β = 90.00° and γ = 120.00°. The inequivalent atoms are Pr at (0.0000, 0.0000, 0.0000), Ho at (0.0000, 0.0000, 0.5000), S at (0.3333, 0.6667, 0.2084), O at (0.1891, 0.3783, 0.2858) and O at (0.3333, 0.6667, 0.9808).